[1]
Entry from Alexandria via LeMat-Bulk: crystalline SnPd2Au at its relaxed geometry (PBE-GGA).

The energy of formation comes out at -0.737 eV/f.u. Its symmetry is No. 122. The total energy is -4.601 eV/atom.

```
SnPd2Au
1.0
-3.6782 3.6782 2.7962
3.6782 -3.6782 2.7962
3.6782 3.6782 -2.7962
Sn Pd Au
2 4 2
direct
0.0000 0.0000 0.0000 Sn
0.7500 0.2500 0.5000 Sn
0.1135 0.1250 0.4885 Pd
0.3750 0.8865 0.0115 Pd
0.6365 0.6250 0.5115 Pd
0.8750 0.3635 0.9885 Pd
0.2500 0.7500 0.5000 Au
0.5000 0.5000 0.0000 Au
```



[2]
Entry from Alexandria via LeMat-Bulk: crystalline Cr2W at its relaxed geometry (PBE-GGA).

The energy of formation comes out at 0.167 eV/f.u. Its symmetry is No. 194. The total energy is -10.678 eV/atom. Its energy above the lowest structure with this stoichiometry is 0.01 eV/f.u.

```
Cr2W
1.0
4.8241 0.0000 0.0000
-2.4120 4.1778 0.0000
0.0000 0.0000 15.6780
Cr W
16 8
direct
0.0000 0.5000 0.0000 Cr
0.0000 0.5000 0.5000 Cr
0.1631 0.3262 0.2500 Cr
0.1631 0.8369 0.2500 Cr
0.3262 0.1631 0.7500 Cr
0.3333 0.6667 0.1240 Cr
0.3333 0.6667 0.3760 Cr
0.5000 0.0000 0.0000 Cr
0.5000 0.0000 0.5000 Cr
0.5000 0.5000 0.0000 Cr
0.5000 0.5000 0.5000 Cr
0.6667 0.3333 0.6240 Cr
0.6667 0.3333 0.8760 Cr
0.6738 0.8369 0.2500 Cr
0.8369 0.1631 0.7500 Cr
0.8369 0.6738 0.7500 Cr
0.0000 0.0000 0.0962 W
0.0000 0.0000 0.4038 W
0.0000 0.0000 0.5962 W
0.0000 0.0000 0.9038 W
0.3333 0.6667 0.6538 W
0.3333 0.6667 0.8462 W
0.6667 0.3333 0.1538 W
0.6667 0.3333 0.3462 W
```



[3]
Entry from Alexandria via LeMat-Bulk: crystalline Sc4IrAu at its relaxed geometry (PBE-GGA).

The energy of formation comes out at 0.887 eV/f.u. Its symmetry is No. 216. The total energy is -6.096 eV/atom. Its energy above the lowest structure with this stoichiometry is 4.85 eV/f.u.

```
Sc4IrAu
1.0
0.0000 3.8555 3.8555
3.8555 0.0000 3.8555
3.8555 3.8555 0.0000
Sc Ir Au
4 1 1
direct
0.3764 0.3764 0.3764 Sc
0.3764 0.3764 0.8709 Sc
0.3764 0.8709 0.3764 Sc
0.8709 0.3764 0.3764 Sc
0.7500 0.7500 0.7500 Ir
0.0000 0.0000 0.0000 Au
```



[4]
Entry from Alexandria via LeMat-Bulk: crystalline TaZnAu at its relaxed geometry (PBE-GGA).

The energy of formation comes out at -0.258 eV/f.u. Its symmetry is No. 107. The total energy is -5.554 eV/atom.

```
TaZnAu
1.0
-1.4643 1.4643 5.8099
1.4643 -1.4643 5.8099
1.4643 1.4643 -5.8099
Ta Zn Au
1 1 1
direct
0.0000 0.0000 0.0000 Ta
0.6621 0.6621 0.0000 Zn
0.3222 0.3222 0.0000 Au
```



[5]
Entry from Alexandria via LeMat-Bulk: crystalline Ir2Au at its relaxed geometry (PBE-GGA).

The energy of formation comes out at 1.004 eV/f.u. Its symmetry is No. 12. The total energy is -6.665 eV/atom. Its energy above the lowest structure with this stoichiometry is 0.34 eV/f.u.

```
Ir2Au
1.0
5.5259 -1.3849 0.0000
5.5259 1.3849 0.0000
-1.7186 0.0000 6.2396
Ir Au
4 2
direct
0.1562 0.1562 0.0352 Ir
0.2051 0.2051 0.6361 Ir
0.7949 0.7949 0.3639 Ir
0.8438 0.8438 0.9648 Ir
0.4798 0.4798 0.7092 Au
0.5202 0.5202 0.2908 Au
```



[6]
Entry from Alexandria via LeMat-Bulk: crystalline Co2RhCl at its relaxed geometry (PBE-GGA).

Its symmetry is No. 44. The total energy is -5.312 eV/atom. Its energy above the lowest structure with this stoichiometry is 1.27 eV/f.u.

```
Co2RhCl
1.0
-1.4124 2.2163 4.3125
1.4124 -2.2163 4.3125
1.4124 2.2163 -4.3125
Co Rh Cl
2 1 1
direct
0.0000 0.0000 0.0000 Co
0.7572 0.2572 0.5000 Co
0.2742 0.7742 0.5000 Rh
0.5295 0.5295 0.0000 Cl
```



[7]
Entry from Alexandria via LeMat-Bulk: crystalline Pr4AsAuSe2 at its relaxed geometry (PBE-GGA).

Its symmetry is No. 10. The total energy is -5.735 eV/atom.

```
Pr4AsAuSe2
1.0
7.4795 0.0000 0.0000
0.0000 4.2627 0.0000
-2.4271 0.0000 7.0754
Pr As Au Se
4 1 1 2
direct
0.2470 0.0000 0.2418 Pr
0.2519 0.5000 0.7557 Pr
0.7481 0.5000 0.2443 Pr
0.7530 0.0000 0.7582 Pr
0.0000 0.5000 0.0000 As
0.0000 0.0000 0.5000 Au
0.5000 0.0000 0.0000 Se
0.5000 0.5000 0.5000 Se
```



[8]
Entry from Alexandria via LeMat-Bulk: crystalline Hf2OsPb at its relaxed geometry (PBE-GGA).

The energy of formation comes out at -1.066 eV/f.u. Its symmetry is No. 123. The total energy is -8.978 eV/atom.

```
Hf2OsPb
1.0
3.1713 0.0000 0.0000
0.0000 3.1713 0.0000
0.0000 0.0000 8.3035
Hf Os Pb
2 1 1
direct
0.0000 0.0000 0.2016 Hf
0.0000 0.0000 0.7984 Hf
0.5000 0.5000 0.0000 Os
0.5000 0.5000 0.5000 Pb
```



[9]
Entry from Alexandria via LeMat-Bulk: crystalline LuZrCuPd at its relaxed geometry (PBE-GGA).

The energy of formation comes out at -1.802 eV/f.u. Its symmetry is No. 216. The total energy is -6.040 eV/atom.

```
LuZrCuPd
1.0
0.0000 3.3711 3.3711
3.3711 0.0000 3.3711
3.3711 3.3711 0.0000
Lu Zr Cu Pd
1 1 1 1
direct
0.0000 0.0000 0.0000 Lu
0.5000 0.5000 0.5000 Zr
0.2500 0.2500 0.2500 Cu
0.7500 0.7500 0.7500 Pd
```



[10]
Entry from Alexandria via LeMat-Bulk: crystalline EuAlIn at its relaxed geometry (PBE-GGA).

The energy of formation comes out at -0.772 eV/f.u. Its symmetry is No. 216. The total energy is -5.842 eV/atom.

```
EuAlIn
1.0
0.0000 3.4723 3.4723
3.4723 0.0000 3.4723
3.4723 3.4723 0.0000
Eu Al In
1 1 1
direct
0.0000 0.0000 0.0000 Eu
0.2500 0.2500 0.2500 Al
0.5000 0.5000 0.5000 In
```



[11]
Entry from Alexandria via LeMat-Bulk: crystalline P2AuF2 at its relaxed geometry (PBE-GGA).

Its symmetry is No. 139. The total energy is -3.781 eV/atom. Its energy above the lowest structure with this stoichiometry is 3.12 eV/f.u.

```
P2AuF2
1.0
-1.8830 1.8830 5.0986
1.8830 -1.8830 5.0986
1.8830 1.8830 -5.0986
P Au F
2 1 2
direct
0.1045 0.1045 0.0000 P
0.8955 0.8955 0.0000 P
0.5000 0.5000 0.0000 Au
0.2500 0.7500 0.5000 F
0.7500 0.2500 0.5000 F
```



[12]
Entry from Alexandria via LeMat-Bulk: crystalline La2TlSi at its relaxed geometry (PBE-GGA).

Its symmetry is No. 65. The total energy is -4.826 eV/atom.

```
La2TlSi
1.0
3.6482 -4.3359 0.0000
3.6482 4.3359 0.0000
0.0000 0.0000 3.5441
La Tl Si
2 1 1
direct
0.0000 0.5000 0.0000 La
0.5000 0.0000 0.0000 La
0.0000 0.0000 0.5000 Tl
0.5000 0.5000 0.5000 Si
```



[13]
Entry from Alexandria via LeMat-Bulk: crystalline ZrTi2Zn9 at its relaxed geometry (PBE-GGA).

The energy of formation comes out at -1.982 eV/f.u. Its symmetry is No. 166. The total energy is -3.149 eV/atom.

```
ZrTi2Zn9
1.0
2.5596 1.4778 8.2021
-2.5596 1.4778 8.2021
0.0000 -2.9556 8.2021
Zr Ti Zn
1 2 9
direct
0.0000 0.0000 0.0000 Zr
0.1441 0.1441 0.1441 Ti
0.8559 0.8559 0.8559 Ti
0.0787 0.5898 0.5898 Zn
0.3348 0.3348 0.3348 Zn
0.4102 0.4102 0.9213 Zn
0.4102 0.9213 0.4102 Zn
0.5000 0.5000 0.5000 Zn
0.5898 0.0787 0.5898 Zn
0.5898 0.5898 0.0787 Zn
0.6652 0.6652 0.6652 Zn
0.9213 0.4102 0.4102 Zn
```



[14]
Entry from Alexandria via LeMat-Bulk: crystalline UH2IO8 at its relaxed geometry (PBE-GGA).

Its symmetry is No. 2. The total energy is -6.057 eV/atom.

```
UH2IO8
1.0
4.8373 0.0000 0.0000
0.7765 5.0144 0.0000
0.7596 -0.0332 6.8939
U H I O
1 2 1 8
direct
0.0000 0.0000 0.0000 U
0.4468 0.7895 0.6374 H
0.5532 0.2105 0.3626 H
0.0000 0.0000 0.5000 I
0.1831 0.8153 0.2753 O
0.2385 0.7984 0.6880 O
0.2421 0.2440 0.4615 O
0.2454 0.2337 0.9915 O
0.7546 0.7663 0.0085 O
0.7579 0.7560 0.5385 O
0.7615 0.2016 0.3120 O
0.8169 0.1847 0.7247 O
```



[15]
Entry from Alexandria via LeMat-Bulk: crystalline AlO3 at its relaxed geometry (PBE-GGA).

Its symmetry is No. 162. The total energy is -5.615 eV/atom.

```
AlO3
1.0
5.4146 0.0000 0.0000
-2.7073 4.6892 0.0000
0.0000 0.0000 3.9317
Al O
2 6
direct
0.3333 0.6667 0.0000 Al
0.6667 0.3333 0.0000 Al
0.0000 0.3887 0.2235 O
0.0000 0.6113 0.7765 O
0.3887 0.0000 0.2235 O
0.3887 0.3887 0.7765 O
0.6113 0.0000 0.7765 O
0.6113 0.6113 0.2235 O
```



[16]
Entry from Alexandria via LeMat-Bulk: crystalline Er12Co5Sb at its relaxed geometry (PBE-GGA).

Its symmetry is No. 71. The total energy is -5.578 eV/atom.

```
Er12Co5Sb
1.0
-4.6450 4.6599 4.8890
4.6450 -4.6599 4.8890
4.6450 4.6599 -4.8890
Er Co Sb
12 5 1
direct
0.0160 0.2099 0.8060 Er
0.1842 0.2879 0.4721 Er
0.1842 0.7121 0.8963 Er
0.3129 0.0057 0.6928 Er
0.3129 0.6201 0.3072 Er
0.4039 0.2099 0.1940 Er
0.5961 0.7901 0.8060 Er
0.6871 0.3799 0.6928 Er
0.6871 0.9943 0.3072 Er
0.8158 0.2879 0.1037 Er
0.8158 0.7121 0.5279 Er
0.9840 0.7901 0.1940 Er
0.0000 0.0000 0.0000 Co
0.1125 0.6125 0.5000 Co
0.3750 0.0000 0.3750 Co
0.6250 0.0000 0.6250 Co
0.8875 0.3875 0.5000 Co
0.5000 0.5000 0.0000 Sb
```



[17]
Entry from Alexandria via LeMat-Bulk: crystalline Ac2La2SmHo at its relaxed geometry (PBE-GGA).

The energy of formation comes out at 0.868 eV/f.u. Its symmetry is No. 11. The total energy is -4.417 eV/atom.

```
Ac2La2SmHo
1.0
6.7467 0.0000 0.0000
0.0000 7.2768 0.0000
-0.8795 0.0000 9.3348
Ac La Sm Ho
4 4 2 2
direct
0.1831 0.9998 0.1759 Ac
0.1831 0.5002 0.1759 Ac
0.8169 0.0002 0.8241 Ac
0.8169 0.4998 0.8241 Ac
0.0937 0.2500 0.5207 La
0.4110 0.7500 0.5043 La
0.5890 0.2500 0.4957 La
0.9063 0.7500 0.4793 La
0.3086 0.7500 0.8460 Sm
0.6914 0.2500 0.1540 Sm
0.3400 0.2500 0.8562 Ho
0.6600 0.7500 0.1438 Ho
```



[18]
Entry from Alexandria via LeMat-Bulk: crystalline Ba2Ga5Ir3 at its relaxed geometry (PBE-GGA).

The energy of formation comes out at -4.432 eV/f.u. Its symmetry is No. 72. The total energy is -5.000 eV/atom.

```
Ba2Ga5Ir3
1.0
-5.3379 6.4121 3.1308
5.3379 -6.4121 3.1308
5.3379 6.4121 -3.1308
Ba Ga Ir
4 10 6
direct
0.1294 0.2459 0.3754 Ba
0.3706 0.7459 0.1165 Ba
0.6294 0.2541 0.8835 Ba
0.8706 0.7541 0.6246 Ba
0.0098 0.7500 0.2598 Ga
0.1128 0.8697 0.9825 Ga
0.2500 0.7500 0.5000 Ga
0.3872 0.3697 0.7569 Ga
0.4902 0.7500 0.7402 Ga
0.5098 0.2500 0.2598 Ga
0.6128 0.6303 0.2431 Ga
0.7500 0.2500 0.5000 Ga
0.8872 0.1303 0.0175 Ga
0.9902 0.2500 0.7402 Ga
0.1218 0.6246 0.7464 Ir
0.2500 0.2500 0.0000 Ir
0.3782 0.1246 0.5028 Ir
0.6218 0.8754 0.4972 Ir
0.7500 0.7500 0.0000 Ir
0.8782 0.3754 0.2536 Ir
```



[19]
Entry from Alexandria via LeMat-Bulk: crystalline MnReRu at its relaxed geometry (PBE-GGA).

The energy of formation comes out at 0.370 eV/f.u. Its symmetry is No. 156. The total energy is -10.174 eV/atom. Its energy above the lowest structure with this stoichiometry is 0.13 eV/f.u.

```
MnReRu
1.0
2.6910 0.0000 0.0000
-1.3455 2.3305 0.0000
0.0000 0.0000 6.4963
Mn Re Ru
1 1 1
direct
0.0000 0.0000 0.0000 Mn
0.6667 0.3333 0.3310 Re
0.3333 0.6667 0.6829 Ru
```



[20]
Entry from Alexandria via LeMat-Bulk: crystalline NbH3I at its relaxed geometry (PBE-GGA).

Its symmetry is No. 221. The total energy is -2.704 eV/atom. Its energy above the lowest structure with this stoichiometry is 5.90 eV/f.u.

```
NbH3I
1.0
3.8998 0.0000 0.0000
0.0000 3.8998 0.0000
0.0000 0.0000 3.8998
Nb H I
1 3 1
direct
0.0000 0.0000 0.0000 Nb
0.0000 0.5000 0.5000 H
0.5000 0.0000 0.5000 H
0.5000 0.5000 0.0000 H
0.5000 0.5000 0.5000 I
```



[21]
Entry from Alexandria via LeMat-Bulk: crystalline CdGeO at its relaxed geometry (PBE-GGA).

Its symmetry is No. 6. The total energy is -4.112 eV/atom. Its energy above the lowest structure with this stoichiometry is 0.12 eV/f.u.

```
CdGeO
1.0
5.2771 0.0000 0.0000
0.0000 3.1139 0.0000
-2.2858 0.0000 6.7252
Cd Ge O
2 2 2
direct
0.0000 0.0000 0.0000 Cd
0.0366 0.0000 0.4099 Cd
0.4949 0.5000 0.0376 Ge
0.5615 0.5000 0.5562 Ge
0.6412 0.5000 0.3170 O
0.8024 0.0000 0.6502 O
```



[22]
Entry from Alexandria via LeMat-Bulk: crystalline VAg2Au4Se2 at its relaxed geometry (PBE-GGA).

Its symmetry is No. 156. The total energy is -4.011 eV/atom.

```
VAg2Au4Se2
1.0
3.0946 0.0000 0.0000
-1.5473 2.6800 0.0000
0.0000 0.0000 20.4313
V Ag Au Se
1 2 4 2
direct
0.0000 0.0000 0.0000 V
0.0000 0.0000 0.6774 Ag
0.6667 0.3333 0.3386 Ag
0.0000 0.0000 0.2282 Au
0.0000 0.0000 0.4506 Au
0.6667 0.3333 0.5645 Au
0.6667 0.3333 0.7880 Au
0.6667 0.3333 0.0814 Se
0.6667 0.3333 0.9196 Se
```



[23]
Entry from Alexandria via LeMat-Bulk: crystalline TaCoIr at its relaxed geometry (PBE-GGA).

The energy of formation comes out at -0.909 eV/f.u. Its symmetry is No. 44. The total energy is -9.576 eV/atom. Its energy above the lowest structure with this stoichiometry is 0.50 eV/f.u.

```
TaCoIr
1.0
-1.4324 1.8338 4.1522
1.4324 -1.8338 4.1522
1.4324 1.8338 -4.1522
Ta Co Ir
1 1 1
direct
0.0000 0.0000 0.0000 Ta
0.6669 0.6669 0.0000 Co
0.3268 0.3268 0.0000 Ir
```



[24]
Entry from Alexandria via LeMat-Bulk: crystalline AcPr4Dy15 at its relaxed geometry (PBE-GGA).

The energy of formation comes out at 0.562 eV/f.u. Its symmetry is No. 123. The total energy is -4.585 eV/atom.

```
AcPr4Dy15
1.0
5.1004 0.0000 0.0000
0.0000 5.1004 0.0000
0.0000 0.0000 25.3262
Ac Pr Dy
1 4 15
direct
0.0000 0.0000 0.0000 Ac
0.0000 0.0000 0.2017 Pr
0.0000 0.0000 0.4008 Pr
0.0000 0.0000 0.5992 Pr
0.0000 0.0000 0.7983 Pr
0.0000 0.5000 0.1033 Dy
0.0000 0.5000 0.3016 Dy
0.0000 0.5000 0.5000 Dy
0.0000 0.5000 0.6984 Dy
0.0000 0.5000 0.8967 Dy
0.5000 0.0000 0.1033 Dy
0.5000 0.0000 0.3016 Dy
0.5000 0.0000 0.5000 Dy
0.5000 0.0000 0.6984 Dy
0.5000 0.0000 0.8967 Dy
0.5000 0.5000 0.0000 Dy
0.5000 0.5000 0.2024 Dy
0.5000 0.5000 0.4008 Dy
0.5000 0.5000 0.5992 Dy
0.5000 0.5000 0.7976 Dy
```